Material: CdGaCo3
Method: DFT, PBEsol
State: optimized geometry

Calculated values
Energy of formation = 0.9144 eV per atom
E above lowest polymorph = 0.000 eV per atom

a = 4.2895 Å, b = 4.2895 Å, c = 4.2895 Å
α = 90.00°, β = 90.00°, γ = 90.00°
Space group Pm-3m (No. 221)
Asymmetric unit:
Cd 0.0000 0.0000 0.0000
Ga 0.5000 0.5000 0.5000
Co 0.0000 0.5000 0.5000

***

Material: HfCd2Co
Method: DFT, PBEsol
State: optimized geometry

Calculated values
Energy of formation = 0.2151 eV per atom

a = 6.4720 Å, b = 6.4720 Å, c = 6.4720 Å
α = 90.00°, β = 90.00°, γ = 90.00°
Space group Fm-3m (No. 225)
Asymmetric unit:
Hf 0.0000 0.0000 0.0000
Cd 0.2500 0.2500 0.2500
Co 0.0000 0.0000 0.5000